# 1
! PBE MgH2Au, relaxed; values from VASP
&SYSTEM
  ibrav = 0, nat = 8, ntyp = 3
/
ATOMIC_SPECIES
Mg 24.30 Mg.upf
H 1.01 H.upf
Au 196.97 Au.upf
CELL_PARAMETERS angstrom
-2.038 2.038 5.770
2.038 -2.038 5.770
2.038 2.038 -5.770
ATOMIC_POSITIONS crystal
Mg 0.000 0.000 0.000
Mg 0.750 0.250 0.500
H 0.183 0.625 0.058
H 0.375 0.433 0.558
H 0.567 0.125 0.942
H 0.875 0.817 0.442
Au 0.250 0.750 0.500
Au 0.500 0.500 0.000
! V = 11.99 Å³/atom
! Total DFT energy (no corrections) = -2.82 eV/atom



# 2
! PBE MgHAu3, relaxed; values from VASP
&SYSTEM
  ibrav = 0, nat = 5, ntyp = 3
/
ATOMIC_SPECIES
Mg 24.30 Mg.upf
H 1.01 H.upf
Au 196.97 Au.upf
CELL_PARAMETERS angstrom
5.044 0.000 0.000
0.000 5.044 0.000
0.000 0.000 5.044
ATOMIC_POSITIONS crystal
Mg 0.000 0.000 0.000
H 0.500 0.500 0.500
Au 0.000 0.000 0.500
Au 0.000 0.500 0.000
Au 0.500 0.000 0.000
! Offset from the most stable computed form = 977 meV per atom
! V = 25.67 Å³/atom



# 3
! PBE MgMnH2Au, relaxed; values from VASP
&SYSTEM
  ibrav = 0, nat = 5, ntyp = 4
/
ATOMIC_SPECIES
Mg 24.30 Mg.upf
Mn 54.94 Mn.upf
H 1.01 H.upf
Au 196.97 Au.upf
CELL_PARAMETERS angstrom
3.688 0.000 0.000
0.000 3.688 0.000
0.000 0.000 6.720
ATOMIC_POSITIONS crystal
Mg 0.000 0.000 0.000
Mn 0.000 0.000 0.500
H 0.000 0.500 0.000
H 0.500 0.000 0.000
Au 0.500 0.500 0.500
! V = 18.28 Å³/atom
! Total DFT energy (no corrections) = -3.74 eV/atom



# 4
! PBE MgNi2HAu, relaxed; values from VASP
&SYSTEM
  ibrav = 0, nat = 5, ntyp = 4
/
ATOMIC_SPECIES
Mg 24.30 Mg.upf
Ni 58.69 Ni.upf
H 1.01 H.upf
Au 196.97 Au.upf
CELL_PARAMETERS angstrom
3.816 0.000 0.000
0.000 3.816 0.000
0.000 0.000 3.991
ATOMIC_POSITIONS crystal
Mg 0.000 0.000 0.000
Ni 0.000 0.500 0.500
Ni 0.500 0.000 0.500
H 0.500 0.500 0.500
Au 0.500 0.500 0.000
! Offset from the most stable computed form = 73 meV per atom
! V = 11.62 Å³/atom



# 5
! PBE Mg2NiHAu, relaxed; values from VASP
&SYSTEM
  ibrav = 0, nat = 5, ntyp = 4
/
ATOMIC_SPECIES
Mg 24.30 Mg.upf
Ni 58.69 Ni.upf
H 1.01 H.upf
Au 196.97 Au.upf
CELL_PARAMETERS angstrom
4.540 0.000 0.000
0.000 4.540 0.000
0.000 0.000 3.260
ATOMIC_POSITIONS crystal
Mg 0.000 0.500 0.000
Mg 0.500 0.000 0.000
Ni 0.000 0.000 0.500
H 0.000 0.000 0.000
Au 0.500 0.500 0.500
! V = 13.44 Å³/atom
! Total DFT energy (no corrections) = -3.48 eV/atom



# 6
! PBE MgNi2HAu, relaxed; values from VASP
&SYSTEM
  ibrav = 0, nat = 5, ntyp = 4
/
ATOMIC_SPECIES
Mg 24.30 Mg.upf
Ni 58.69 Ni.upf
H 1.01 H.upf
Au 196.97 Au.upf
CELL_PARAMETERS angstrom
3.749 0.000 0.000
0.000 3.749 0.000
0.000 0.000 4.078
ATOMIC_POSITIONS crystal
Mg 0.000 0.000 0.000
Ni 0.000 0.500 0.500
Ni 0.500 0.000 0.500
H 0.000 0.000 0.500
Au 0.500 0.500 0.000
! Offset from the most stable computed form = 0 meV per atom
! V = 11.46 Å³/atom



# 7
! PBE MgHAuO2, relaxed; values from VASP
&SYSTEM
  ibrav = 0, nat = 5, ntyp = 4
/
ATOMIC_SPECIES
Mg 24.30 Mg.upf
H 1.01 H.upf
Au 196.97 Au.upf
O 16.00 O.upf
CELL_PARAMETERS angstrom
3.940 0.000 0.000
0.000 3.940 0.000
0.000 0.000 3.650
ATOMIC_POSITIONS crystal
Mg 0.000 0.000 0.000
H 0.000 0.000 0.500
Au 0.500 0.500 0.500
O 0.000 0.500 0.000
O 0.500 0.000 0.000
! V = 11.33 Å³/atom
! Total DFT energy (no corrections) = -3.77 eV/atom



# 8
! PBE Mg2HOsAu, relaxed; values from VASP
&SYSTEM
  ibrav = 0, nat = 5, ntyp = 4
/
ATOMIC_SPECIES
Mg 24.30 Mg.upf
H 1.01 H.upf
Os 190.23 Os.upf
Au 196.97 Au.upf
CELL_PARAMETERS angstrom
5.103 0.000 0.000
0.000 5.103 0.000
0.000 0.000 3.265
ATOMIC_POSITIONS crystal
Mg 0.000 0.500 0.000
Mg 0.500 0.000 0.000
H 0.000 0.000 0.500
Os 0.000 0.000 0.000
Au 0.500 0.500 0.500
! V = 17.00 Å³/atom
! Total DFT energy (no corrections) = -3.80 eV/atom



# 9
! PBE Mg2HPbAu, relaxed; values from VASP
&SYSTEM
  ibrav = 0, nat = 5, ntyp = 4
/
ATOMIC_SPECIES
Mg 24.30 Mg.upf
H 1.01 H.upf
Pb 207.20 Pb.upf
Au 196.97 Au.upf
CELL_PARAMETERS angstrom
4.862 0.000 0.000
0.000 4.862 0.000
0.000 0.000 3.860
ATOMIC_POSITIONS crystal
Mg 0.000 0.500 0.000
Mg 0.500 0.000 0.000
H 0.000 0.000 0.000
Pb 0.500 0.500 0.500
Au 0.000 0.000 0.500
! V = 18.25 Å³/atom
! Total DFT energy (no corrections) = -2.76 eV/atom



# 10
! PBE Mg2HPdAu, relaxed; values from VASP
&SYSTEM
  ibrav = 0, nat = 5, ntyp = 4
/
ATOMIC_SPECIES
Mg 24.30 Mg.upf
H 1.01 H.upf
Pd 106.42 Pd.upf
Au 196.97 Au.upf
CELL_PARAMETERS angstrom
4.574 0.000 0.000
0.000 4.574 0.000
0.000 0.000 3.455
ATOMIC_POSITIONS crystal
Mg 0.000 0.500 0.000
Mg 0.500 0.000 0.000
H 0.000 0.000 0.000
Pd 0.000 0.000 0.500
Au 0.500 0.500 0.500
! Offset from the most stable computed form = 0 meV per atom
! V = 14.45 Å³/atom



# 11
! PBE MgHPdAu2, relaxed; values from VASP
&SYSTEM
  ibrav = 0, nat = 5, ntyp = 4
/
ATOMIC_SPECIES
Mg 24.30 Mg.upf
H 1.01 H.upf
Pd 106.42 Pd.upf
Au 196.97 Au.upf
CELL_PARAMETERS angstrom
4.073 0.000 0.000
0.000 4.073 0.000
0.000 0.000 4.294
ATOMIC_POSITIONS crystal
Mg 0.000 0.000 0.000
H 0.000 0.000 0.500
Pd 0.500 0.500 0.000
Au 0.000 0.500 0.500
Au 0.500 0.000 0.500
! Offset from the most stable computed form = 60 meV per atom
! V = 14.25 Å³/atom



# 12
! PBE MgHPdAu2, relaxed; values from VASP
&SYSTEM
  ibrav = 0, nat = 5, ntyp = 4
/
ATOMIC_SPECIES
Mg 24.30 Mg.upf
H 1.01 H.upf
Pd 106.42 Pd.upf
Au 196.97 Au.upf
CELL_PARAMETERS angstrom
4.383 0.000 0.000
0.000 4.383 0.000
0.000 0.000 3.738
ATOMIC_POSITIONS crystal
Mg 0.000 0.000 0.000
H 0.500 0.500 0.500
Pd 0.500 0.500 0.000
Au 0.000 0.500 0.500
Au 0.500 0.000 0.500
! Offset from the most stable computed form = 0 meV per atom
! V = 14.36 Å³/atom



Magnetic moment (computed, μB per cell): 0.00 0.94 4.60 0.00 0.00 0.00 2.00 0.14 0.00 0.00 0.00 0.00